Material: BeCd2Mo
Method: DFT, PBE-GGA
State: optimized geometry

a = 3.8198 Å, b = 3.8198 Å, c = 9.1488 Å
α = 90.00°, β = 90.00°, γ = 90.00°
With the nearest neighbours (Å) after each atom.
Atoms (fractional coordinates):
Be1 0.0000 0.0000 0.0000  4 Mo 2.70, 8 Cd 2.98
Be2 0.5000 0.5000 0.5000  4 Mo 2.70, 8 Cd 2.98
Cd1 0.0000 0.5000 0.2500  4 Cd 2.70, 4 Mo 2.98, 4 Be 2.98
Cd2 0.0000 0.5000 0.7500  4 Cd 2.70, 4 Mo 2.98, 4 Be 2.98
Cd3 0.5000 0.0000 0.2500  4 Cd 2.70, 4 Mo 2.98, 4 Be 2.98
Cd4 0.5000 0.0000 0.7500  4 Cd 2.70, 4 Mo 2.98, 4 Be 2.98
Mo1 0.0000 0.0000 0.5000  4 Be 2.70, 8 Cd 2.98
Mo2 0.5000 0.5000 0.0000  4 Be 2.70, 8 Cd 2.98

The calculation puts the formation enthalpy at 0 K at 0.5836 eV/atom. The value obtained for the total magnetization is 0.00 μB per cell. The total energy comes out at -3.513 eV/atom. The space group is I4/mmm, No. 139. The volume is 67 Å³/f.u.